DFT (GGA-PBE) results for a relaxed structure of Er5Rh6.

Values from the calculation:
raw total energy: -6.82 eV per atom

abc: 4.617 6.854 13.978
angles: 90.00 90.00 90.00
Space group Immm (No. 71)
Inequivalent atoms, fractional coordinates:
Er1 0.000 0.000 0.000 [2 per cell]
Er2 0.000 0.000 0.358 [4 per cell]
Er3 0.000 0.500 0.324 [4 per cell]
Rh1 0.000 0.243 0.168 [8 per cell]
Rh2 0.000 0.276 0.500 [4 per cell]

DFT (GGA-PBE) results for a relaxed structure of Er7Rh3.

Values from the calculation:
raw total energy: -6.05 eV per atom

abc: 9.7015 9.7015 6.1202
angles: 90.00 90.00 120.00
Space group P6_3mc (No. 186)
Inequivalent atoms, fractional coordinates:
Er1 0.0827 0.5413 0.0000 [6 per cell]
Er2 0.1235 0.2469 0.6950 [6 per cell]
Er3 0.3333 0.6667 0.4915 [2 per cell]
Rh1 0.1900 0.3800 0.2663 [6 per cell]

DFT (GGA-PBE) results for a relaxed structure of ErRh2.

Values from the calculation:
raw total energy: -7.19 eV per atom

abc: 7.516 7.516 7.516
angles: 90.00 90.00 90.00
Space group Fd-3m (No. 227, origin choice 2)
Inequivalent atoms, fractional coordinates:
Er1 0.125 0.125 0.125 [8 per cell]
Rh1 0.000 0.000 0.500 [16 per cell]

DFT (GGA-PBE) results for a relaxed structure of Er3RuRh.

Values from the calculation:
energy above the most stable polymorph in this dataset: 0 meV/atom
raw total energy: -6.62 eV per atom

abc: 17.885 8.420 6.345
angles: 90.00 110.71 90.00
Space group C2/c (No. 15)
Inequivalent atoms, fractional coordinates:
Er1 0.051 0.248 0.051 [8 per cell]
Er2 0.146 0.390 0.645 [8 per cell]
Er3 0.182 0.000 0.432 [8 per cell]
Ru1 0.214 0.294 0.215 [8 per cell]
Rh1 0.000 0.000 0.250 [4 per cell]
Rh2 0.000 0.500 0.250 [4 per cell]

DFT (GGA-PBE) results for a relaxed structure of Er4RuRh3.

Values from the calculation:
raw total energy: -7.02 eV per atom

abc: 3.401 4.784 9.547
angles: 90.00 90.00 90.00
Space group Pmmm (No. 47)
Inequivalent atoms, fractional coordinates:
Er1 0.000 0.000 0.000 [1 per cell]
Er2 0.000 0.000 0.500 [1 per cell]
Er3 0.000 0.500 0.246 [2 per cell]
Ru1 0.500 0.500 0.000 [1 per cell]
Rh1 0.500 0.000 0.252 [2 per cell]
Rh2 0.500 0.500 0.500 [1 per cell]

DFT (GGA-PBE) results for a relaxed structure of Er5RuRh4.

Values from the calculation:
raw total energy: -6.99 eV per atom

abc: 3.396 3.396 16.870
angles: 90.00 90.00 90.00
Space group P4/mmm (No. 123)
Inequivalent atoms, fractional coordinates:
Er1 0.000 0.000 0.000 [1 per cell]
Er2 0.000 0.000 0.201 [2 per cell]
Er3 0.000 0.000 0.402 [2 per cell]
Ru1 0.500 0.500 0.500 [1 per cell]
Rh1 0.500 0.500 0.100 [2 per cell]
Rh2 0.500 0.500 0.298 [2 per cell]

DFT (GGA-PBE) results for a relaxed structure of Er6RuRh2.

Values from the calculation:
raw total energy: -6.25 eV per atom

abc: 6.536 7.213 11.315
angles: 90.00 122.82 90.00
Space group P2_1/c (No. 14)
Inequivalent atoms, fractional coordinates:
Er1 0.081 0.036 0.243 [4 per cell]
Er2 0.224 0.668 0.073 [4 per cell]
Er3 0.394 0.174 0.071 [4 per cell]
Ru1 0.500 0.000 0.500 [2 per cell]
Rh1 0.324 0.135 0.784 [4 per cell]

DFT (GGA-PBE) results for a relaxed structure of Er6RuRh3.

Values from the calculation:
raw total energy: -6.46 eV per atom

abc: 8.158 11.817 4.710
angles: 90.00 90.00 90.00
Space group Pnnm (No. 58)
Inequivalent atoms, fractional coordinates:
Er1 0.002 0.248 0.000 [4 per cell]
Er2 0.162 0.414 0.500 [4 per cell]
Er3 0.172 0.081 0.500 [4 per cell]
Ru1 0.000 0.500 0.000 [2 per cell]
Rh1 0.000 0.000 0.000 [2 per cell]
Rh2 0.165 0.835 0.500 [4 per cell]